DFT (GGA-PBE) results for a relaxed structure of TaTlH2S.

Summary:
The energy comes out at -4.36 eV/atom. As for the space-group type: P4/mmm, No. 123. The magnetic moment is 1.40 μB per formula unit.

Unit cell a=3.8312 b=5.8737 c=3.8312 alpha=90.00 beta=90.00 gamma=90.00
Last column: nearest neighbours and their distance in Å.
Positions (direct):
H (0.0000, 0.0000, 0.5000)  2 Ta 1.92
H (0.5000, 0.0000, 0.0000)  2 Ta 1.92
Tl (0.0000, 0.5000, 0.0000)  4 S 2.71, 2 Ta 2.94
S (0.5000, 0.5000, 0.5000)  4 Tl 2.71
Ta (0.0000, 0.0000, 0.0000)  4 H 1.92